[1]
The following is a DFT calculation (PBE) of a relaxed structure of CaSiSnO5.

Cell lengths 5.6311, 5.6414, 7.2655 Å; angles 104.06, 103.88, 105.88 degrees
Fractional coordinates of all 16 atoms:
Ca (0.8381, 0.1641, 0.2461)
Ca (0.1619, 0.8359, 0.7539)
Si (0.8185, 0.1805, 0.7498)
Si (0.1815, 0.8195, 0.2502)
Sn (0.5000, 0.5000, 0.5000)
Sn (0.5000, 0.5000, 0.0000)
O (0.4109, 0.5880, 0.7501)
O (0.5891, 0.4120, 0.2499)
O (0.1081, 0.2410, 0.9121)
O (0.8919, 0.7590, 0.0879)
O (0.7610, 0.8902, 0.5905)
O (0.2390, 0.1098, 0.4095)
O (0.1780, 0.6061, 0.3722)
O (0.8220, 0.3939, 0.6278)
O (0.3961, 0.8236, 0.1281)
O (0.6039, 0.1764, 0.8719)

Energy: -0.2583 Ha/atom
ΔE_f (raw): -2501 meV/atom

=====

[2]
The following is a DFT calculation (PBE) of a relaxed structure of Ca3Si2SnO9.

Cell lengths 7.4138, 10.2005, 10.5338 Å; angles 90.00, 91.20, 90.00 degrees
Fractional coordinates of all 60 atoms:
Ca (0.6361, 0.9208, 0.1114)
Ca (0.3639, 0.4208, 0.3886)
Ca (0.3639, 0.0792, 0.8886)
Ca (0.6361, 0.5792, 0.6114)
Ca (0.1193, 0.3333, 0.0836)
Ca (0.8807, 0.8333, 0.4164)
Ca (0.8807, 0.6667, 0.9164)
Ca (0.1193, 0.1667, 0.5836)
Ca (0.6282, 0.3043, 0.0955)
Ca (0.3718, 0.8043, 0.4045)
Ca (0.3718, 0.6957, 0.9045)
Ca (0.6282, 0.1957, 0.5955)
Si (0.4012, 0.1367, 0.3052)
Si (0.5988, 0.6367, 0.1948)
Si (0.5988, 0.8633, 0.6948)
Si (0.4012, 0.3633, 0.8052)
Si (0.8331, 0.1254, 0.3159)
Si (0.1669, 0.6254, 0.1841)
Si (0.1669, 0.8746, 0.6841)
Si (0.8331, 0.3746, 0.8159)
Sn (0.1203, 0.5586, 0.6178)
Sn (0.8797, 0.0586, 0.8822)
Sn (0.8797, 0.4414, 0.3822)
Sn (0.1203, 0.9414, 0.1178)
O (0.6592, 0.3913, 0.4829)
O (0.3408, 0.8913, 0.0171)
O (0.3408, 0.6087, 0.5171)
O (0.6592, 0.1087, 0.9829)
O (0.0909, 0.1167, 0.0084)
O (0.9091, 0.6167, 0.4916)
O (0.9091, 0.8833, 0.9916)
O (0.0909, 0.3833, 0.5084)
O (0.3806, 0.1689, 0.4549)
O (0.6194, 0.6689, 0.0451)
O (0.6194, 0.8311, 0.5451)
O (0.3806, 0.3311, 0.9549)
O (0.3045, 0.9989, 0.2632)
O (0.6955, 0.4989, 0.2368)
O (0.1441, 0.8910, 0.5325)
O (0.6955, 0.0011, 0.7368)
O (0.3547, 0.2332, 0.7205)
O (0.6453, 0.7332, 0.7795)
O (0.6453, 0.7668, 0.2795)
O (0.3547, 0.2668, 0.2205)
O (0.1036, 0.7687, 0.2390)
O (0.8964, 0.2687, 0.2610)
O (0.8964, 0.2313, 0.7610)
O (0.1036, 0.7313, 0.7390)
O (0.6173, 0.3928, 0.7695)
O (0.3827, 0.8928, 0.7305)
O (0.3827, 0.6072, 0.2305)
O (0.6173, 0.1072, 0.2695)
O (0.0841, 0.0024, 0.7575)
O (0.9159, 0.5024, 0.7425)
O (0.9159, 0.9976, 0.2425)
O (0.0841, 0.4976, 0.2575)
O (0.1441, 0.6090, 0.0325)
O (0.8559, 0.1090, 0.4675)
O (0.8559, 0.3910, 0.9675)
O (0.3045, 0.5011, 0.7632)

Energy: -0.2626 Ha/atom
ΔE_f (raw): -2781 meV/atom

=====

[3]
The following is a DFT calculation (PBE) of a relaxed structure of Ca2TiSi2SnO10.

Cell lengths 5.5377, 5.5855, 7.2282 Å; angles 104.41, 103.79, 105.71 degrees
Fractional coordinates of all 16 atoms:
Ca (0.1699, 0.8347, 0.7717)
Ca (0.8301, 0.1653, 0.2283)
Ti (0.5000, 0.5000, 0.0000)
Si (0.1770, 0.8156, 0.2473)
Si (0.8230, 0.1844, 0.7527)
Sn (0.5000, 0.5000, 0.5000)
O (0.2310, 0.1125, 0.3994)
O (0.1182, 0.2563, 0.9185)
O (0.7690, 0.8875, 0.6006)
O (0.8818, 0.7437, 0.0815)
O (0.5792, 0.4247, 0.2406)
O (0.4208, 0.5753, 0.7594)
O (0.6060, 0.1866, 0.8763)
O (0.1764, 0.6118, 0.3785)
O (0.3940, 0.8134, 0.1237)
O (0.8236, 0.3882, 0.6215)

Energy: -0.2771 Ha/atom
ΔE_f (raw): -2769 meV/atom

=====

[4]
The following is a DFT calculation (PBE) of a relaxed structure of SrCaSiO4.

Cell lengths 5.5203, 5.7114, 6.7667 Å; angles 90.00, 108.40, 90.00 degrees
Fractional coordinates of all 14 atoms:
Sr (0.7084, 0.7500, 0.9285)
Sr (0.2916, 0.2500, 0.0715)
Ca (0.8073, 0.7500, 0.4675)
Ca (0.1927, 0.2500, 0.5325)
Si (0.2504, 0.7500, 0.3125)
Si (0.7496, 0.2500, 0.6875)
O (0.9482, 0.4763, 0.7382)
O (0.0518, 0.9763, 0.2618)
O (0.0518, 0.5237, 0.2618)
O (0.9482, 0.0237, 0.7382)
O (0.4394, 0.7500, 0.1656)
O (0.5606, 0.2500, 0.8344)
O (0.4225, 0.7500, 0.5592)
O (0.5775, 0.2500, 0.4408)

Energy: -0.2624 Ha/atom
ΔE_f (raw): -3006 meV/atom